(1)
VASP calculation (PBEsol) on a relaxed CoIr2 crystal.

The space group is Cm (No. 8) and the conventional cell measures 9.637, 2.677 and 6.258 Å, with angles of 90.00, 103.79 and 90.00 degrees. The asymmetric unit holds Co at (0.000, 0.000, 0.000), Co at (0.164, 0.500, 0.323), Ir at (0.056, 0.000, 0.603), Ir at (0.219, 0.500, 0.946), Ir at (0.333, 0.000, 0.664) and Ir at (0.388, 0.000, 0.270).

Its formation energy is 0.0404 eV per atom.

=====

(2)
VASP calculation (PBEsol) on a relaxed CoIr crystal.

The space group is P4/nmm (No. 129, origin choice 2) and the conventional cell measures 2.654, 2.654 and 6.997 Å, with angles of 90.00, 90.00 and 90.00 degrees. The asymmetric unit holds Co at (0.250, 0.250, 0.110) and Ir at (0.250, 0.250, 0.637).

Its formation energy is 0.0577 eV per atom.

=====

(3)
VASP calculation (PBEsol) on a relaxed CoIr crystal.

The space group is P-6m2 (No. 187) and the conventional cell measures 2.6483, 2.6483 and 4.0935 Å, with angles of 90.00, 90.00 and 120.00 degrees. The asymmetric unit holds Co at (0.0000, 0.0000, 0.0000) and Ir at (0.3333, 0.6667, 0.5000).

Its formation energy is 0.0407 eV per atom.

=====

(4)
VASP calculation (PBEsol) on a relaxed CoIr2 crystal.

The space group is C2/m (No. 12) and the conventional cell measures 9.624, 2.681 and 6.228 Å, with angles of 90.00, 104.78 and 90.00 degrees. The asymmetric unit holds Co at (0.028, 0.000, 0.309), Ir at (0.137, 0.500, 0.029) and Ir at (0.189, 0.500, 0.633).

Its formation energy is 0.0294 eV per atom.

=====

(5)
VASP calculation (PBEsol) on a relaxed CoIr crystal.

The space group is Cmcm (No. 63) and the conventional cell measures 2.622, 9.535 and 3.906 Å, with angles of 90.00, 90.00 and 90.00 degrees. The asymmetric unit holds Co at (0.000, 0.065, 0.250) and Ir at (0.000, 0.328, 0.250).

Its formation energy is 0.0630 eV per atom.

=====

(6)
VASP calculation (PBEsol) on a relaxed Co7Ir crystal.

The space group is Fm-3m (No. 225) and the conventional cell measures 7.030, 7.030 and 7.030 Å, with angles of 90.00, 90.00 and 90.00 degrees. The asymmetric unit holds Co at (0.000, 0.000, 0.000), Co at (0.000, 0.250, 0.250) and Ir at (0.000, 0.000, 0.500).

Its formation energy is 0.0408 eV per atom.